Record 1
Density functional theory data (meta-GGA SCAN) for CrCoOs at its PBEsol-relaxed geometry.

Summary:
* total moment: 0.5 μB/f.u.
* space-group type: P-6m2 (187)
* crystal system: hexagonal
* energy of formation: 143 meV/atom
* raw total energy: -107.14 eV/cell

a b c (Å): 3.9931 3.9931 2.5554
angles (deg): 90.00 90.00 120.00
Closest atoms and distances in Å follow each position.
Element x y z (fractional)
Cr  0.0000  0.0000  0.0000  3 Co 2.31, 2 Cr 2.56
Co  0.6667  0.3333  0.0000  3 Cr 2.31, 2 Co 2.56
Os  0.3333  0.6667  0.5000  2 Os 2.56, 6 Cr 2.64, 6 Co 2.64

Record 2
Density functional theory data (meta-GGA SCAN) for Cr2CoOs at its PBEsol-relaxed geometry.

Summary:
* total moment: 0.8 μB/f.u.
* space-group type: P4/mmm (123)
* crystal system: tetragonal
* energy of formation: 105 meV/atom
* raw total energy: -125.53 eV/cell

a b c (Å): 3.5986 3.5986 3.5861
angles (deg): 90.00 90.00 90.00
Closest atoms and distances in Å follow each position.
Element x y z (fractional)
Cr  0.0000  0.5000  0.0000  4 Co 2.54, 4 Os 2.54, 4 Cr 2.54
Cr  0.5000  0.0000  0.0000  4 Co 2.54, 4 Os 2.54, 4 Cr 2.54
Co  0.0000  0.0000  0.5000  8 Cr 2.54, 4 Os 2.54
Os  0.5000  0.5000  0.5000  8 Cr 2.54, 4 Co 2.54